Entry 1:
First-principles (PBE) data for a relaxed structure of Na3HoPb12, as listed in Alexandria.

abc: 4.852 4.852 20.094
angles: 90.00 90.00 90.00
Fractional coordinates of all 16 atoms:
Na1 0.000 0.000 0.000
Na2 0.000 0.000 0.252
Na3 0.000 0.000 0.748
Ho1 0.000 0.000 0.500
Pb1 0.000 0.500 0.125
Pb2 0.000 0.500 0.376
Pb3 0.000 0.500 0.624
Pb4 0.000 0.500 0.875
Pb5 0.500 0.000 0.125
Pb6 0.500 0.000 0.376
Pb7 0.500 0.000 0.624
Pb8 0.500 0.000 0.875
Pb9 0.500 0.500 0.000
Pb10 0.500 0.500 0.249
Pb11 0.500 0.500 0.500
Pb12 0.500 0.500 0.751

**Density**: 9549 kg/m³
**Energy of formation from the pure elements**: -154.1 meV per atom

---

Entry 2:
First-principles (PBE) data for a relaxed structure of EuYHoTh, as listed in Alexandria.

abc: 5.745 5.745 5.745
angles: 60.00 60.00 60.00
Fractional coordinates of all 4 atoms:
Eu1 0.000 0.000 0.000
Y1 0.250 0.250 0.250
Ho1 0.500 0.500 0.500
Th1 0.750 0.750 0.750

**Density**: 7899 kg/m³
**Energy of formation from the pure elements**: 224.7 meV per atom

---

Entry 3:
First-principles (PBE) data for a relaxed structure of Be4NbCo, as listed in Alexandria.

abc: 4.399 4.399 4.399
angles: 60.00 60.00 60.00
Fractional coordinates of all 6 atoms:
Be1 0.124 0.124 0.124
Be2 0.124 0.124 0.628
Be3 0.124 0.628 0.124
Be4 0.628 0.124 0.124
Nb1 0.750 0.750 0.750
Co1 0.500 0.500 0.500

**Density**: 5184 kg/m³
**Energy of formation from the pure elements**: -174.0 meV per atom

---

Question: Which value of density does entry 3 give?
Answer: 5184 kg/m³

---

Question: Which value of energy of formation from the pure elements does entry 2 give?
Answer: 224.7 meV per atom

---

Question: Number 3 is which compound?
Answer: Be4NbCo

---

Question: Which formula does entry 2 have?
Answer: EuYHoTh